Computed, not measured: RbNi2F after structural relaxation at the PBE+U level of DFT.

The total magnetization is 1.45 μB/f.u. The energy relative to the lowest polymorph listed for this composition is 0.0000 eV/atom.

It has space group I4_1/amd (No. 141, origin choice 2), with a = 5.4789 Å, b = 5.4789 Å, c = 12.7010 Å, α = 90.00°, β = 90.00° and γ = 90.00°. Symmetry generates all atoms from Rb at (0.0000, 0.2500, 0.3750), Ni at (0.0000, 0.0000, 0.0000) and F at (0.0000, 0.2500, 0.8750).

=====

Computed, not measured: RbNiF2 after structural relaxation at the PBE+U level of DFT.

The total magnetization is 1.00 μB/f.u. The energy relative to the lowest polymorph listed for this composition is 0.7580 eV/atom.

It has space group Fm-3m (No. 225), with a = 6.2873 Å, b = 6.2873 Å, c = 6.2873 Å, α = 90.00°, β = 90.00° and γ = 90.00°. Symmetry generates all atoms from Rb at (0.0000, 0.0000, 0.0000), Ni at (0.0000, 0.0000, 0.5000) and F at (0.2500, 0.2500, 0.2500).

=====

Question: total magnetization of number 2 (RbNiF2)?
Answer: 1.00 μB/f.u.